A plane-wave DFT calculation with SCAN was carried out for a crystal of MnPb2Cl relaxed with PBEsol.

Structure (POSCAR):
```
MnPb2Cl
1.0
0.0000 3.6394 3.6394
3.6394 0.0000 3.6394
3.6394 3.6394 0.0000
Mn Pb Cl
1 2 1
Direct
0.0000 0.0000 0.0000
0.2500 0.2500 0.2500
0.5000 0.5000 0.5000
0.7500 0.7500 0.7500
```

Computed properties:
SG: F-43m, No. 216
DFT total energy: -44.51 eV/atom
formation energy (no corrections): -0.061 eV/atom
density of states at the Fermi level: 1.94 states/eV per cell
magnetization: 4.90 μB per cell
calculated volume: 96 Å³/cell
energy above the most stable polymorph in this dataset: 256 meV/atom